DFT (GGA-PBE) results for an optimized crystal structure of ReAg3Cl2F6.

Lattice parameters (Å, degrees): 4.8395 7.2310 7.7909 117.65 95.93 90.00
With the nearest neighbours (Å) after each atom.
Sites, in units of the cell vectors:
Re1 0.5000 0.0000 0.0000  6 F 1.92-1.93
Ag1 0.0000 0.5000 0.0000  2 Cl 2.51, 4 F 2.78
Ag2 0.5000 0.5000 0.5000  2 Cl 2.46, 2 F 2.75
Ag3 0.5000 0.0000 0.5000  2 Cl 2.46, 2 F 2.75
Cl1 0.1989 0.6765 0.3530  3 Ag 2.46-2.51
Cl2 0.8011 0.3235 0.6470  3 Ag 2.46-2.51
F1 0.7289 0.2558 0.1285  1 Re 1.92
F2 0.2711 0.7442 0.8715  1 Re 1.92
F3 0.7095 0.8894 0.7789  1 Re 1.93
F4 0.2905 0.1106 0.2211  1 Re 1.93
F5 0.2711 0.1273 0.8715  1 Re 1.92
F6 0.7289 0.8727 0.1285  1 Re 1.92

## Properties
Theoretical density   4.81 g cm⁻³
Raw total energy   -52.63 eV per cell
V   19.99 Å³/atom
Symmetry   C2/m (12)


DFT (GGA-PBE) results for an optimized crystal structure of ReAg2Cl4F2.

Lattice parameters (Å, degrees): 5.6811 6.8497 6.8497 64.37 94.97 94.97
With the nearest neighbours (Å) after each atom.
Sites, in units of the cell vectors:
Re1 0.5000 0.0000 0.0000  2 F 1.97
Ag1 0.4698 0.7034 0.7034  4 Cl 2.61-2.86, 1 F 2.62
Ag2 0.5302 0.2966 0.2966  4 Cl 2.61-2.86, 1 F 2.62
Cl1 0.2994 0.6510 0.1052  1 Re 2.39, 1 Ag 2.61
Cl2 0.7006 0.8948 0.3490  1 Re 2.39, 1 Ag 2.61
Cl3 0.7006 0.3490 0.8948  1 Re 2.39, 1 Ag 2.61
Cl4 0.2994 0.1052 0.6510  1 Re 2.39, 1 Ag 2.61
F1 0.2466 0.1035 0.1035  1 Re 1.97
F2 0.7534 0.8965 0.8965  1 Re 1.97

## Properties
Theoretical density   4.04 g cm⁻³
Raw total energy   -36.89 eV per cell
V   26.56 Å³/atom
Symmetry   C2/m (12)


DFT (GGA-PBE) results for an optimized crystal structure of Ag3RhCl6F2.

Lattice parameters (Å, degrees): 5.8698 7.1077 7.3775 118.80 103.41 90.00
With the nearest neighbours (Å) after each atom.
Sites, in units of the cell vectors:
Ag1 0.0000 0.5000 0.0000  2 F 2.12
Ag2 0.5000 0.5000 0.5000  2 F 2.42, 4 Cl 2.62-2.63
Ag3 0.5000 0.0000 0.5000  2 F 2.42, 4 Cl 2.62-2.63
Rh1 0.5000 0.0000 0.0000  6 Cl 2.35-2.36
Cl1 0.7358 0.3407 0.2068  1 Rh 2.36, 1 Ag 2.63
Cl2 0.2642 0.6593 0.7932  1 Rh 2.36, 1 Ag 2.63
Cl3 0.7452 0.8833 0.7666  1 Rh 2.35, 2 Ag 2.62
Cl4 0.2548 0.1167 0.2334  1 Rh 2.35, 2 Ag 2.62
Cl5 0.2642 0.1339 0.7932  1 Rh 2.36, 1 Ag 2.63
Cl6 0.7358 0.8661 0.2068  1 Rh 2.36, 1 Ag 2.63
F1 0.2641 0.6481 0.2963  1 Ag 2.12
F2 0.7359 0.3519 0.7037  1 Ag 2.12

## Properties
Theoretical density   4.32 g cm⁻³
Raw total energy   -38.23 eV per cell
V   21.68 Å³/atom
Symmetry   C2/m (12)


DFT (GGA-PBE) results for an optimized crystal structure of Ag2RuCl4F2.

Lattice parameters (Å, degrees): 5.6316 6.7918 6.7918 64.57 93.17 93.17
With the nearest neighbours (Å) after each atom.
Sites, in units of the cell vectors:
Ag1 0.4455 0.6992 0.6992  4 Cl 2.61-2.77, 1 F 2.83
Ag2 0.5545 0.3008 0.3008  4 Cl 2.61-2.77, 1 F 2.83
Ru1 0.5000 0.0000 0.0000  2 F 1.91
Cl1 0.3081 0.6507 0.1039  1 Ru 2.38, 1 Ag 2.61
Cl2 0.6919 0.8961 0.3493  1 Ru 2.38, 1 Ag 2.61
Cl3 0.6919 0.3493 0.8961  1 Ru 2.38, 1 Ag 2.61
Cl4 0.3081 0.1039 0.6507  1 Ru 2.38, 1 Ag 2.61
F1 0.2401 0.0982 0.0982  1 Ru 1.91
F2 0.7599 0.9018 0.9018  1 Ru 1.91

## Properties
Theoretical density   3.52 g cm⁻³
Raw total energy   -33.06 eV per cell
V   26.01 Å³/atom
Symmetry   C2/m (12)


DFT (GGA-PBE) results for an optimized crystal structure of Ag3RuCl2F6.

Lattice parameters (Å, degrees): 4.8697 6.9843 7.5616 117.51 93.67 90.00
With the nearest neighbours (Å) after each atom.
Sites, in units of the cell vectors:
Ag1 0.0000 0.5000 0.0000  2 Cl 2.52, 4 F 2.68
Ag2 0.5000 0.5000 0.5000  2 Cl 2.47, 2 F 2.67
Ag3 0.5000 0.0000 0.5000  2 Cl 2.47, 2 F 2.67
Ru1 0.5000 0.0000 0.0000  6 F 1.92
Cl1 0.1829 0.6807 0.3613  3 Ag 2.47-2.52
Cl2 0.8171 0.3193 0.6387  3 Ag 2.47-2.52
F1 0.7226 0.2609 0.1278  1 Ru 1.92
F2 0.2774 0.7391 0.8722  1 Ru 1.92
F3 0.7125 0.8849 0.7697  1 Ru 1.92
F4 0.2875 0.1151 0.2303  1 Ru 1.92
F5 0.2774 0.1331 0.8722  1 Ru 1.92
F6 0.7226 0.8669 0.1278  1 Ru 1.92

## Properties
Theoretical density   4.45 g cm⁻³
Raw total energy   -47.54 eV per cell
V   18.96 Å³/atom
Symmetry   C2/m (12)


DFT (GGA-PBE) results for an optimized crystal structure of Ag2RuCl2F4.

Lattice parameters (Å, degrees): 5.0313 6.3904 6.3904 52.51 104.04 104.04
With the nearest neighbours (Å) after each atom.
Sites, in units of the cell vectors:
Ag1 0.1922 0.6422 0.6422  4 F 2.51-2.81, 1 Cl 2.61
Ag2 0.8078 0.3578 0.3578  4 F 2.51-2.81, 1 Cl 2.61
Ru1 0.5000 0.0000 0.0000  4 F 1.96
Cl1 0.3599 0.1784 0.1784  1 Ru 2.34, 1 Ag 2.61
Cl2 0.6401 0.8216 0.8216  1 Ru 2.34, 1 Ag 2.61
F1 0.2308 0.6858 0.1858  1 Ru 1.96
F2 0.7692 0.8142 0.3142  1 Ru 1.96
F3 0.7692 0.3142 0.8142  1 Ru 1.96
F4 0.2308 0.1858 0.6858  1 Ru 1.96

## Properties
Theoretical density   4.91 g cm⁻³
Raw total energy   -35.98 eV per cell
V   17.44 Å³/atom
Symmetry   C2/m (12)


DFT (GGA-PBE) results for an optimized crystal structure of Ag7S2ClF2.

Lattice parameters (Å, degrees): 4.8196 4.8912 10.1926 103.88 103.68 90.00
With the nearest neighbours (Å) after each atom.
Sites, in units of the cell vectors:
Ag1 0.3896 0.9092 0.7793  2 S 2.47, 1 F 2.66
Ag2 0.7821 0.7815 0.5642  4 F 2.48-2.57
Ag3 0.1086 0.5513 0.2172  2 S 2.47, 1 F 2.75
Ag4 0.6104 0.1299 0.2207  2 S 2.47, 1 F 2.66
Ag5 0.2179 0.2172 0.4358  4 F 2.48-2.57
Ag6 0.8914 0.3341 0.7828  2 S 2.47, 1 F 2.75
Ag7 0.5000 0.5341 0.0000  2 S 2.46
S1 0.3716 0.3909 0.7433  5 Ag 2.46-2.47
S2 0.6284 0.6476 0.2567  5 Ag 2.46-2.47
Cl1 0.0000 0.9851 0.0000  10 Ag 3.06-3.37
F1 0.2509 0.7602 0.5018  6 Ag 2.48-2.75
F2 0.7491 0.2585 0.4982  6 Ag 2.48-2.75

## Properties
Theoretical density   6.55 g cm⁻³
Raw total energy   -38.53 eV per cell
V   18.85 Å³/atom
Symmetry   Imm2 (44)


DFT (GGA-PBE) results for an optimized crystal structure of Ag4SCl2F.

Lattice parameters (Å, degrees): 7.7097 7.7097 7.3463 118.46 118.46 93.18
With the nearest neighbours (Å) after each atom.
Sites, in units of the cell vectors:
Ag1 0.2257 0.7439 0.9848  2 S 2.57, 1 F 2.70, 2 Cl 2.74
Ag2 0.7561 0.2743 0.5152  2 S 2.57, 1 F 2.70, 2 Cl 2.74
Ag3 0.2439 0.7257 0.4848  2 S 2.57, 1 F 2.70, 2 Cl 2.74
Ag4 0.7743 0.2561 0.0152  2 S 2.57, 1 F 2.70, 2 Cl 2.74
Ag5 0.7685 0.7315 0.9784  2 F 2.55, 1 S 2.60, 2 Cl 2.77
Ag6 0.7685 0.7315 0.5216  2 F 2.55, 1 S 2.60, 2 Cl 2.77
Ag7 0.2315 0.2685 0.4784  2 F 2.55, 1 S 2.60, 2 Cl 2.77
Ag8 0.2315 0.2685 0.0216  2 F 2.55, 1 S 2.60, 2 Cl 2.77
S1 0.0000 0.5000 0.0000  6 Ag 2.57-2.60
S2 0.0000 0.5000 0.5000  6 Ag 2.57-2.60
Cl1 0.5000 0.0000 0.0000  6 Ag 2.74-3.01
Cl2 0.5000 0.0000 0.5000  6 Ag 2.74-3.01
Cl3 0.0000 0.0000 0.5000  6 Ag 2.77-2.90
Cl4 0.5000 0.5000 0.0000  6 Ag 2.77-2.90
F1 0.5000 0.5000 0.5000  6 Ag 2.55-2.70
F2 0.0000 0.0000 0.0000  6 Ag 2.55-2.70

## Properties
Theoretical density   5.85 g cm⁻³
Raw total energy   -48.96 eV per cell
V   19.64 Å³/atom
Symmetry   Imma (74)


DFT (GGA-PBE) results for an optimized crystal structure of AgSCl2F.

Lattice parameters (Å, degrees): 4.9191 4.9191 5.0600 90.00 90.00 90.00
With the nearest neighbours (Å) after each atom.
Sites, in units of the cell vectors:
S1 0.0000 0.0000 0.5000  2 Ag 2.53
F1 0.5000 0.5000 0.5000  4 S 3.48, 8 Cl 3.53
Ag1 0.0000 0.0000 0.0000  4 Cl 2.46, 2 S 2.53
Cl1 0.0000 0.5000 0.0000  2 Ag 2.46
Cl2 0.5000 0.0000 0.0000  2 Ag 2.46

## Properties
Theoretical density   3.12 g cm⁻³
Energy above the lowest structure with this stoichiometry   0.120 eV/atom
V   24.49 Å³/atom
Symmetry   P4/mmm (123)


DFT (GGA-PBE) results for an optimized crystal structure of AgSCl2F.

Lattice parameters (Å, degrees): 5.5017 5.5017 3.6086 90.00 90.00 90.00
With the nearest neighbours (Å) after each atom.
Sites, in units of the cell vectors:
S1 0.0000 0.0000 0.5000  2 F 1.80
F1 0.0000 0.0000 0.0000  2 S 1.80
Ag1 0.5000 0.5000 0.5000  8 Cl 3.29, 2 Ag 3.61
Cl1 0.0000 0.5000 0.0000  2 F 2.75
Cl2 0.5000 0.0000 0.0000  2 F 2.75

## Properties
Theoretical density   3.49 g cm⁻³
Energy above the lowest structure with this stoichiometry   0.000 eV/atom
V   21.85 Å³/atom
Symmetry   P4/mmm (123)


Which of these has the highest theoretical density? Ag7S2ClF2